# 1
The following is a DFT calculation (PBE) of Nd2TmPu after structural relaxation.

The structure in CIF format:
```
data_Nd2TmPu
_cell_length_a 5.671
_cell_length_b 5.671
_cell_length_c 5.671
_cell_angle_alpha 60.00
_cell_angle_beta 60.00
_cell_angle_gamma 60.00
_symmetry_space_group_name_H-M 'P 1'
_symmetry_Int_Tables_number 1
_symmetry_space_group_name_Hall 'P 1'
loop_
_atom_site_label
_atom_site_fract_x
_atom_site_fract_y
_atom_site_fract_z
Nd1 0.250 0.250 0.250
Nd2 0.750 0.750 0.750
Tm1 0.000 0.000 0.000
Pu1 0.500 0.500 0.500
```

Computed properties:
formation enthalpy at 0 K = 212 meV/atom
symmetry = Fm-3m (225)
polymorph energy (0 for the lowest one) = 0.0975 eV per atom
Fermi-level density of states = 3.310 states/eV per atom
total DFT energy (no corrections) = -27.5 eV/cell
calculated density = 9.03 g/cm3

***

# 2
The following is a DFT calculation (PBE) of La2ScTa after structural relaxation.

The structure in CIF format:
```
data_La2ScTa
_cell_length_a 4.787
_cell_length_b 4.787
_cell_length_c 4.726
_cell_angle_alpha 90.00
_cell_angle_beta 90.00
_cell_angle_gamma 90.00
_symmetry_space_group_name_H-M 'P 1'
_symmetry_Int_Tables_number 1
_symmetry_space_group_name_Hall 'P 1'
loop_
_atom_site_label
_atom_site_fract_x
_atom_site_fract_y
_atom_site_fract_z
La1 0.000 0.500 0.000
La2 0.500 0.000 0.000
Sc1 0.000 0.000 0.500
Ta1 0.500 0.500 0.500
```

Computed properties:
formation enthalpy at 0 K = 411 meV/atom
symmetry = P4/mmm (123)
polymorph energy (0 for the lowest one) = 0.1433 eV per atom
Fermi-level density of states = 1.376 states/eV per atom
total DFT energy (no corrections) = -26.4 eV/cell
calculated density = 7.73 g/cm3

***

# 3
The following is a DFT calculation (PBE) of CsNaV2Cl8 after structural relaxation.

The structure in CIF format:
```
data_CsNaV2Cl8
_cell_length_a 10.511
_cell_length_b 10.511
_cell_length_c 10.511
_cell_angle_alpha 37.30
_cell_angle_beta 37.30
_cell_angle_gamma 37.30
_symmetry_space_group_name_H-M 'P 1'
_symmetry_Int_Tables_number 1
_symmetry_space_group_name_Hall 'P 1'
loop_
_atom_site_label
_atom_site_fract_x
_atom_site_fract_y
_atom_site_fract_z
Cs1 0.000 0.000 0.000
Na1 0.500 0.500 0.500
V1 0.247 0.247 0.247
V2 0.753 0.753 0.753
Cl1 0.089 0.783 0.451
Cl2 0.217 0.549 0.911
Cl3 0.323 0.323 0.323
Cl4 0.451 0.089 0.783
Cl5 0.549 0.911 0.217
Cl6 0.677 0.677 0.677
Cl7 0.783 0.451 0.089
Cl8 0.911 0.217 0.549
```

Computed properties:
symmetry = R-3 (148)
total DFT energy (no corrections) = -52.3 eV/cell
calculated density = 2.35 g/cm3

***

# 4
The following is a DFT calculation (PBE) of MnRu4Pb after structural relaxation.

The structure in CIF format:
```
data_MnRu4Pb
_cell_length_a 5.200
_cell_length_b 5.200
_cell_length_c 5.200
_cell_angle_alpha 60.00
_cell_angle_beta 60.00
_cell_angle_gamma 60.00
_symmetry_space_group_name_H-M 'P 1'
_symmetry_Int_Tables_number 1
_symmetry_space_group_name_Hall 'P 1'
loop_
_atom_site_label
_atom_site_fract_x
_atom_site_fract_y
_atom_site_fract_z
Mn1 0.000 0.000 0.000
Ru1 0.375 0.375 0.375
Ru2 0.375 0.375 0.876
Ru3 0.375 0.876 0.375
Ru4 0.876 0.375 0.375
Pb1 0.750 0.750 0.750
```

Computed properties:
formation enthalpy at 0 K = 575 meV/atom
symmetry = F-43m (216)
Fermi-level density of states = 1.379 states/eV per atom
total DFT energy (no corrections) = -46.5 eV/cell
calculated density = 11.13 g/cm3

***

# 5
The following is a DFT calculation (PBE) of BaMoRh2 after structural relaxation.

The structure in CIF format:
```
data_BaMoRh2
_cell_length_a 6.315
_cell_length_b 6.315
_cell_length_c 6.315
_cell_angle_alpha 106.76
_cell_angle_beta 106.76
_cell_angle_gamma 115.04
_symmetry_space_group_name_H-M 'P 1'
_symmetry_Int_Tables_number 1
_symmetry_space_group_name_Hall 'P 1'
loop_
_atom_site_label
_atom_site_fract_x
_atom_site_fract_y
_atom_site_fract_z
Ba1 0.000 0.000 0.000
Ba2 0.750 0.250 0.500
Mo1 0.250 0.750 0.500
Mo2 0.500 0.500 0.000
Rh1 0.206 0.625 0.081
Rh2 0.375 0.456 0.581
Rh3 0.544 0.125 0.919
Rh4 0.875 0.794 0.419
```

Computed properties:
formation enthalpy at 0 K = 495 meV/atom
symmetry = I-42d (122)
polymorph energy (0 for the lowest one) = 0.3702 eV per atom
Fermi-level density of states = 0.875 states/eV per atom
total DFT energy (no corrections) = -51.0 eV/cell
calculated density = 7.57 g/cm3

***

# 6
The following is a DFT calculation (PBE) of Sr2YZrTl after structural relaxation.

The structure in CIF format:
```
data_Sr2YZrTl
_cell_length_a 6.106
_cell_length_b 6.106
_cell_length_c 5.881
_cell_angle_alpha 90.00
_cell_angle_beta 90.00
_cell_angle_gamma 90.00
_symmetry_space_group_name_H-M 'P 1'
_symmetry_Int_Tables_number 1
_symmetry_space_group_name_Hall 'P 1'
loop_
_atom_site_label
_atom_site_fract_x
_atom_site_fract_y
_atom_site_fract_z
Sr1 0.000 0.500 0.000
Sr2 0.500 0.000 0.000
Y1 0.000 0.000 0.500
Zr1 0.500 0.500 0.500
Tl1 0.000 0.000 0.000
```

Computed properties:
formation enthalpy at 0 K = 707 meV/atom
symmetry = P4/mmm (123)
Fermi-level density of states = 1.504 states/eV per atom
total DFT energy (no corrections) = -17.2 eV/cell
calculated density = 4.24 g/cm3

***

Question: Which value of total DFT energy (no corrections) does entry 5 give?
Answer: -51.0 eV/cell